Version 1
Computed, not measured: a geometry-optimized La3RuPb structure at the PBE level of DFT.

Lattice parameters (Å, degrees): 7.665 9.357 8.870 90.00 90.00 90.00
Positions (direct):
La1 0.115 0.069 0.151
La2 0.115 0.431 0.151
La3 0.175 0.250 0.757
La4 0.325 0.750 0.257
La5 0.385 0.569 0.651
La6 0.385 0.931 0.651
La7 0.615 0.069 0.349
La8 0.615 0.431 0.349
La9 0.675 0.250 0.743
La10 0.825 0.750 0.243
La11 0.885 0.569 0.849
La12 0.885 0.931 0.849
Ru1 0.108 0.750 0.018
Ru2 0.392 0.250 0.518
Ru3 0.608 0.750 0.482
Ru4 0.892 0.250 0.982
Pb1 0.000 0.000 0.500
Pb2 0.000 0.500 0.500
Pb3 0.500 0.000 0.000
Pb4 0.500 0.500 0.000

Values from the calculation:
Theoretical density: 7.6 g cm⁻³
V: 636.1 Å³ per cell
DOS at the Fermi energy: 4.9 states/eV/f.u.


Version 2
Computed, not measured: a geometry-optimized La3RuPb structure at the PBE level of DFT.

Lattice parameters (Å, degrees): 9.033 9.033 4.182 90.00 90.00 108.29
Positions (direct):
La1 0.174 0.413 0.500
La2 0.189 0.811 0.000
La3 0.413 0.174 0.500
La4 0.587 0.826 0.500
La5 0.811 0.189 0.000
La6 0.826 0.587 0.500
Ru1 0.000 0.500 0.000
Ru2 0.500 0.000 0.000
Pb1 0.000 0.000 0.500
Pb2 0.500 0.500 0.000

Values from the calculation:
Theoretical density: 7.4 g cm⁻³
V: 324.0 Å³ per cell
DOS at the Fermi energy: 3.2 states/eV/f.u.


Version 3
Computed, not measured: a geometry-optimized La3RuPb structure at the PBE level of DFT.

Lattice parameters (Å, degrees): 8.973 5.806 12.548 90.00 113.36 90.00
Positions (direct):
La1 0.043 0.040 0.378
La2 0.043 0.460 0.878
La3 0.293 0.575 0.448
La4 0.293 0.925 0.948
La5 0.406 0.035 0.659
La6 0.406 0.465 0.159
La7 0.594 0.535 0.841
La8 0.594 0.965 0.341
La9 0.707 0.075 0.052
La10 0.707 0.425 0.552
La11 0.957 0.540 0.122
La12 0.957 0.960 0.622
Ru1 0.367 0.155 0.413
Ru2 0.367 0.345 0.913
Ru3 0.633 0.655 0.087
Ru4 0.633 0.845 0.587
Pb1 0.174 0.016 0.167
Pb2 0.174 0.484 0.667
Pb3 0.826 0.516 0.333
Pb4 0.826 0.984 0.833

Values from the calculation:
Theoretical density: 8.0 g cm⁻³
V: 600.2 Å³ per cell
DOS at the Fermi energy: 4.6 states/eV/f.u.


Version 4
Computed, not measured: a geometry-optimized La3RuPb structure at the PBE level of DFT.

Lattice parameters (Å, degrees): 4.593 10.933 6.598 90.00 110.37 90.00
Positions (direct):
La1 0.059 0.000 0.118
La2 0.356 0.209 0.713
La3 0.357 0.791 0.714
La4 0.643 0.291 0.286
La5 0.644 0.709 0.287
La6 0.941 0.500 0.882
Ru1 0.000 0.250 0.999
Ru2 0.000 0.750 0.001
Pb1 0.240 0.500 0.478
Pb2 0.760 0.000 0.522

Values from the calculation:
Theoretical density: 7.8 g cm⁻³
V: 310.6 Å³ per cell
DOS at the Fermi energy: 5.4 states/eV/f.u.


We find version 4 to be the most stable, with the next structure 23 meV/atom higher.


Version 1
Computed, not measured: a geometry-optimized La3RuPb structure at the PBE level of DFT.

Lattice parameters (Å, degrees): 6.754 6.754 6.754 81.84 81.84 81.84
Positions (direct):
La1 0.049 0.750 0.451
La2 0.250 0.549 0.951
La3 0.451 0.049 0.750
La4 0.549 0.951 0.250
La5 0.750 0.451 0.049
La6 0.951 0.250 0.549
Ru1 0.250 0.250 0.250
Ru2 0.750 0.750 0.750
Pb1 0.000 0.000 0.000
Pb2 0.500 0.500 0.500

Values from the calculation:
Theoretical density: 8.0 g cm⁻³
V: 299.6 Å³ per cell
DOS at the Fermi energy: 4.7 states/eV/f.u.


Version 2
Computed, not measured: a geometry-optimized La3RuPb structure at the PBE level of DFT.

Lattice parameters (Å, degrees): 6.752 6.752 9.879 109.71 109.71 48.09
Positions (direct):
La1 0.122 0.122 0.239
La2 0.131 0.131 0.652
La3 0.370 0.370 0.065
La4 0.630 0.630 0.935
La5 0.869 0.869 0.348
La6 0.878 0.878 0.761
Ru1 0.104 0.104 0.938
Ru2 0.896 0.896 0.062
Pb1 0.402 0.402 0.572
Pb2 0.598 0.598 0.428

Values from the calculation:
Theoretical density: 7.7 g cm⁻³
V: 311.5 Å³ per cell
DOS at the Fermi energy: 5.0 states/eV/f.u.


Version 3
Computed, not measured: a geometry-optimized La3RuPb structure at the PBE level of DFT.

Lattice parameters (Å, degrees): 7.656 7.656 7.656 61.28 61.28 61.28
Positions (direct):
La1 0.193 0.750 0.307
La2 0.250 0.693 0.807
La3 0.307 0.193 0.750
La4 0.693 0.807 0.250
La5 0.750 0.307 0.193
La6 0.807 0.250 0.693
Ru1 0.000 0.000 0.000
Ru2 0.500 0.500 0.500
Pb1 0.250 0.250 0.250
Pb2 0.750 0.750 0.750

Values from the calculation:
Theoretical density: 7.4 g cm⁻³
V: 326.5 Å³ per cell
DOS at the Fermi energy: 4.1 states/eV/f.u.


Version 4
Computed, not measured: a geometry-optimized La3RuPb structure at the PBE level of DFT.

Lattice parameters (Å, degrees): 6.014 7.261 7.375 90.00 104.77 90.00
Positions (direct):
La1 0.115 0.250 0.133
La2 0.343 0.016 0.717
La3 0.343 0.484 0.717
La4 0.657 0.516 0.283
La5 0.657 0.984 0.283
La6 0.885 0.750 0.867
Ru1 0.346 0.750 0.983
Ru2 0.654 0.250 0.017
Pb1 0.163 0.750 0.320
Pb2 0.837 0.250 0.680

Values from the calculation:
Theoretical density: 7.7 g cm⁻³
V: 311.4 Å³ per cell
DOS at the Fermi energy: 4.6 states/eV/f.u.


We find version 3 to be the most stable, with the next structure 20 meV/atom higher.


Version 1
Computed, not measured: a geometry-optimized La3RuPb structure at the PBE level of DFT.

Lattice parameters (Å, degrees): 8.651 8.651 9.142 108.91 108.91 87.85
Positions (direct):
La1 0.018 0.212 0.461
La2 0.132 0.474 0.898
La3 0.212 0.018 0.961
La4 0.286 0.477 0.330
La5 0.474 0.132 0.398
La6 0.477 0.286 0.830
La7 0.523 0.714 0.170
La8 0.526 0.868 0.602
La9 0.714 0.523 0.670
La10 0.788 0.982 0.039
La11 0.868 0.526 0.102
La12 0.982 0.788 0.539
Ru1 0.068 0.260 0.140
Ru2 0.260 0.068 0.640
Ru3 0.740 0.932 0.360
Ru4 0.932 0.740 0.860
Pb1 0.160 0.840 0.250
Pb2 0.356 0.644 0.750
Pb3 0.644 0.356 0.250
Pb4 0.840 0.160 0.750

Values from the calculation:
Theoretical density: 7.9 g cm⁻³
V: 610.7 Å³ per cell
DOS at the Fermi energy: 5.0 states/eV/f.u.


Version 2
Computed, not measured: a geometry-optimized La3RuPb structure at the PBE level of DFT.

Lattice parameters (Å, degrees): 3.925 6.788 6.788 61.46 90.00 90.00
Positions (direct):
La1 0.000 0.000 0.000
La2 0.500 0.505 0.976
La3 0.500 0.976 0.505
Ru1 0.000 0.280 0.280
Pb1 0.500 0.482 0.482

Values from the calculation:
Theoretical density: 7.6 g cm⁻³
V: 158.9 Å³ per cell
DOS at the Fermi energy: 5.0 states/eV/f.u.


We find version 1 to be the most stable, with the next structure 74 meV/atom higher.


Version 1
Computed, not measured: a geometry-optimized La6Ru2Pb structure at the PBE level of DFT.

Lattice parameters (Å, degrees): 6.229 6.229 9.469 95.03 95.03 47.19
Positions (direct):
La1 0.097 0.097 0.363
La2 0.296 0.296 0.888
La3 0.395 0.395 0.324
La4 0.605 0.605 0.676
La5 0.704 0.704 0.112
La6 0.903 0.903 0.637
Ru1 0.259 0.259 0.622
Ru2 0.741 0.741 0.378
Pb1 0.000 0.000 0.000

Values from the calculation:
Theoretical density: 7.7 g cm⁻³
V: 268.3 Å³ per cell
DOS at the Fermi energy: 7.3 states/eV/f.u.


Version 2
Computed, not measured: a geometry-optimized La6Ru2Pb structure at the PBE level of DFT.

Lattice parameters (Å, degrees): 6.067 6.067 9.468 101.87 101.87 51.12
Positions (direct):
La1 0.030 0.030 0.355
La2 0.302 0.302 0.660
La3 0.332 0.332 0.127
La4 0.668 0.668 0.873
La5 0.698 0.698 0.340
La6 0.970 0.970 0.645
Ru1 0.378 0.378 0.400
Ru2 0.622 0.622 0.600
Pb1 0.000 0.000 0.000

Values from the calculation:
Theoretical density: 7.8 g cm⁻³
V: 264.2 Å³ per cell
DOS at the Fermi energy: 7.3 states/eV/f.u.


We find version 2 to be the most stable, with the next structure 18 meV/atom higher.


Version 1
Computed, not measured: a geometry-optimized La4RuPb2 structure at the PBE level of DFT.

Lattice parameters (Å, degrees): 9.507 9.507 9.507 148.08 148.08 45.77
Positions (direct):
La1 0.000 0.500 0.500
La2 0.175 0.175 0.000
La3 0.500 0.000 0.500
La4 0.825 0.825 0.000
Ru1 0.000 0.000 0.000
Pb1 0.361 0.361 0.000
Pb2 0.639 0.639 0.000

Values from the calculation:
Theoretical density: 7.4 g cm⁻³
V: 239.5 Å³ per cell
DOS at the Fermi energy: 4.8 states/eV/f.u.


Version 2
Computed, not measured: a geometry-optimized La4RuPb2 structure at the PBE level of DFT.

Lattice parameters (Å, degrees): 6.743 7.115 9.821 90.00 103.81 90.00
Positions (direct):
La1 0.197 0.250 0.098
La2 0.274 0.750 0.401
La3 0.281 0.002 0.756
La4 0.281 0.498 0.756
La5 0.719 0.502 0.244
La6 0.719 0.998 0.244
La7 0.726 0.250 0.599
La8 0.803 0.750 0.902
Ru1 0.494 0.250 0.343
Ru2 0.506 0.750 0.657
Pb1 0.138 0.250 0.442
Pb2 0.307 0.750 0.059
Pb3 0.693 0.250 0.941
Pb4 0.862 0.750 0.558

Values from the calculation:
Theoretical density: 7.8 g cm⁻³
V: 457.6 Å³ per cell
DOS at the Fermi energy: 5.3 states/eV/f.u.


We find version 2 to be the most stable, with the next structure 19 meV/atom higher.


Version 1
Computed, not measured: a geometry-optimized LaRu3Pb structure at the PBE level of DFT.

Lattice parameters (Å, degrees): 4.909 4.909 4.909 90.00 90.00 90.00
Positions (direct):
La1 0.000 0.000 0.000
Ru1 0.000 0.000 0.500
Ru2 0.000 0.500 0.000
Ru3 0.500 0.000 0.000
Pb1 0.500 0.500 0.500

Values from the calculation:
Theoretical density: 9.1 g cm⁻³
V: 118.3 Å³ per cell
DOS at the Fermi energy: 7.1 states/eV/f.u.


Version 2
Computed, not measured: a geometry-optimized LaRu3Pb structure at the PBE level of DFT.

Lattice parameters (Å, degrees): 4.971 4.971 4.971 90.00 90.00 90.00
Positions (direct):
La1 0.000 0.000 0.000
Ru1 0.000 0.500 0.500
Ru2 0.500 0.000 0.500
Ru3 0.500 0.500 0.000
Pb1 0.500 0.500 0.500

Values from the calculation:
Theoretical density: 8.8 g cm⁻³
V: 122.8 Å³ per cell
DOS at the Fermi energy: 8.0 states/eV/f.u.


We find version 2 to be the most stable, with the next structure 340 meV/atom higher.


Version 1
Computed, not measured: a geometry-optimized La2PbS structure at the PBE level of DFT.

Lattice parameters (Å, degrees): 8.715 8.715 8.715 134.99 134.99 65.55
Positions (direct):
La1 0.083 0.625 0.958
La2 0.375 0.333 0.458
La3 0.667 0.125 0.042
La4 0.875 0.917 0.542
Pb1 0.250 0.750 0.500
Pb2 0.500 0.500 0.000
S1 0.000 0.000 0.000
S2 0.750 0.250 0.500

Values from the calculation:
Theoretical density: 5.3 g cm⁻³
V: 326.3 Å³ per cell
DOS at the Fermi energy: 0.0 states/eV/f.u.


Version 2
Computed, not measured: a geometry-optimized La2PbS structure at the PBE level of DFT.

Lattice parameters (Å, degrees): 5.456 5.456 5.456 60.00 60.00 60.00
Positions (direct):
La1 0.250 0.250 0.250
La2 0.750 0.750 0.750
Pb1 0.000 0.000 0.000
S1 0.500 0.500 0.500

Values from the calculation:
Theoretical density: 7.5 g cm⁻³
V: 114.9 Å³ per cell
DOS at the Fermi energy: 0.6 states/eV/f.u.


We find version 2 to be the most stable, with the next structure 53 meV/atom higher.


Version 1
Computed, not measured: a geometry-optimized La2PbS structure at the PBE level of DFT.

Lattice parameters (Å, degrees): 3.604 3.604 8.316 90.00 90.00 90.00
Positions (direct):
La1 0.000 0.000 0.218
La2 0.000 0.000 0.782
Pb1 0.500 0.500 0.500
S1 0.500 0.500 0.000

Values from the calculation:
Theoretical density: 7.9 g cm⁻³
V: 108.0 Å³ per cell
DOS at the Fermi energy: 2.6 states/eV/f.u.


Version 2
Computed, not measured: a geometry-optimized La2PbS structure at the PBE level of DFT.

Lattice parameters (Å, degrees): 8.451 8.451 8.451 28.51 28.51 28.51
Positions (direct):
La1 0.235 0.235 0.235
La2 0.765 0.765 0.765
Pb1 0.000 0.000 0.000
S1 0.500 0.500 0.500

Values from the calculation:
Theoretical density: 7.1 g cm⁻³
V: 121.6 Å³ per cell
DOS at the Fermi energy: 2.9 states/eV/f.u.


Version 3
Computed, not measured: a geometry-optimized La2PbS structure at the PBE level of DFT.

Lattice parameters (Å, degrees): 8.873 8.873 8.873 26.38 26.38 26.38
Positions (direct):
La1 0.000 0.000 0.000
La2 0.202 0.202 0.202
Pb1 0.434 0.434 0.434
S1 0.601 0.601 0.601

Values from the calculation:
Theoretical density: 7.1 g cm⁻³
V: 121.5 Å³ per cell
DOS at the Fermi energy: 2.5 states/eV/f.u.


We find version 2 to be the most stable, with the next structure 30 meV/atom higher.


Version 1
Computed, not measured: a geometry-optimized La4SbPb2 structure at the PBE level of DFT.

Lattice parameters (Å, degrees): 9.471 9.471 9.471 144.05 144.05 51.75
Positions (direct):
La1 0.000 0.500 0.500
La2 0.183 0.183 0.000
La3 0.500 0.000 0.500
La4 0.817 0.817 0.000
Sb1 0.000 0.000 0.000
Pb1 0.374 0.374 0.000
Pb2 0.626 0.626 0.000

Values from the calculation:
Theoretical density: 6.2 g cm⁻³
V: 291.2 Å³ per cell
DOS at the Fermi energy: 6.7 states/eV/f.u.


Version 2
Computed, not measured: a geometry-optimized La4SbPb2 structure at the PBE level of DFT.

Lattice parameters (Å, degrees): 6.117 6.843 11.242 90.00 101.35 90.00
Positions (direct):
La1 0.116 0.250 0.121
La2 0.225 0.750 0.449
La3 0.346 0.019 0.737
La4 0.346 0.481 0.737
La5 0.654 0.519 0.263
La6 0.654 0.981 0.263
La7 0.775 0.250 0.551
La8 0.884 0.750 0.879
Sb1 0.092 0.750 0.170
Sb2 0.908 0.250 0.830
Pb1 0.232 0.250 0.435
Pb2 0.436 0.750 0.998
Pb3 0.564 0.250 0.002
Pb4 0.768 0.750 0.565

Values from the calculation:
Theoretical density: 7.9 g cm⁻³
V: 461.4 Å³ per cell
DOS at the Fermi energy: 5.8 states/eV/f.u.


We find version 2 to be the most stable, with the next structure 268 meV/atom higher.